No. 1
Dy2Sc3Tc2: relaxed, PBE-GGA.

Cell: 10.740 4.052 7.937 Å, 90.00 112.29 90.00°
Element x y z (fractional)
1 Dy 0.155 0.000 0.302
2 Dy 0.345 0.500 0.698
3 Dy 0.655 0.500 0.302
4 Dy 0.845 0.000 0.698
5 Sc 0.000 0.500 0.500
6 Sc 0.131 0.500 0.928
7 Sc 0.369 0.000 0.072
8 Sc 0.500 0.000 0.500
9 Sc 0.631 0.000 0.928
10 Sc 0.869 0.500 0.072
11 Tc 0.153 0.000 0.711
12 Tc 0.347 0.500 0.289
13 Tc 0.653 0.500 0.711
14 Tc 0.847 0.000 0.289

Results
Calculated density, g/cm³: 6.81
Space group: C2/m
N(E_F), states/eV/f.u.: 4.68

---

No. 2
SiBAu: relaxed, PBE-GGA.

Cell: 4.311 3.462 6.182 Å, 90.00 90.00 90.00°
Element x y z (fractional)
1 Si 0.000 0.000 0.000
2 Si 0.000 0.500 0.500
3 B 0.000 0.000 0.334
4 B 0.000 0.500 0.834
5 Au 0.500 0.000 0.232
6 Au 0.500 0.500 0.732

Results
Formation energy without anion corrections, kJ/mol of formula units: 35
Calculated density, g/cm³: 8.49
Space group: Amm2
N(E_F), states/eV/f.u.: 0.37

---

No. 3
Nd2Dy3Tm4: relaxed, PBE-GGA.

Cell: 6.427 6.427 9.120 Å, 102.67 102.67 52.04°
Element x y z (fractional)
1 Nd 0.071 0.071 0.287
2 Nd 0.929 0.929 0.713
3 Dy 0.390 0.390 0.313
4 Dy 0.500 0.500 0.000
5 Dy 0.610 0.610 0.687
6 Tm 0.181 0.181 0.963
7 Tm 0.270 0.270 0.634
8 Tm 0.730 0.730 0.366
9 Tm 0.819 0.819 0.037

Results
ΔE to the lowest computed polymorph, meV/atom: 0
Calculated density, g/cm³: 8.37
Space group: C2/m
N(E_F), states/eV/f.u.: 15.12

---

No. 4
Y2ScBi2: relaxed, PBE-GGA.

Cell: 8.153 8.153 4.305 Å, 90.00 90.00 90.00°
Element x y z (fractional)
1 Y 0.155 0.345 0.000
2 Y 0.345 0.845 0.000
3 Y 0.655 0.155 0.000
4 Y 0.845 0.655 0.000
5 Sc 0.000 0.000 0.500
6 Sc 0.500 0.500 0.500
7 Bi 0.151 0.651 0.500
8 Bi 0.349 0.151 0.500
9 Bi 0.651 0.849 0.500
10 Bi 0.849 0.349 0.500

Results
ΔE to the lowest computed polymorph, meV/atom: 0
Calculated density, g/cm³: 7.44
Space group: P4/mbm
N(E_F), states/eV/f.u.: 3.93

---

No. 5
Pa3Be4PbO12: relaxed, PBE-GGA.

Cell: 6.775 6.775 6.775 Å, 103.41 103.41 103.41°
Element x y z (fractional)
1 Pa 0.000 0.543 0.457
2 Pa 0.457 0.000 0.543
3 Pa 0.543 0.457 0.000
4 Be 0.047 0.500 0.953
5 Be 0.500 0.500 0.500
6 Be 0.500 0.953 0.047
7 Be 0.953 0.047 0.500
8 Pb 0.000 0.000 0.000
9 O 0.021 0.623 0.787
10 O 0.101 0.899 0.500
11 O 0.213 0.377 0.979
12 O 0.354 0.646 0.500
13 O 0.377 0.979 0.213
14 O 0.500 0.101 0.899
15 O 0.500 0.354 0.646
16 O 0.623 0.787 0.021
17 O 0.646 0.500 0.354
18 O 0.787 0.021 0.623
19 O 0.899 0.500 0.101
20 O 0.979 0.213 0.377

Results
Formation energy without anion corrections, kJ/mol of formula units: -5567
Calculated density, g/cm³: 6.68
Space group: R32
N(E_F), states/eV/f.u.: 6.51

---

No. 6
LaTb7Cd4: relaxed, PBE-GGA.

Cell: 7.935 7.935 9.782 Å, 119.67 119.67 42.55°
Element x y z (fractional)
1 La 0.000 0.000 0.000
2 Tb 0.071 0.071 0.414
3 Tb 0.206 0.206 0.880
4 Tb 0.265 0.265 0.309
5 Tb 0.500 0.500 0.000
6 Tb 0.735 0.735 0.691
7 Tb 0.794 0.794 0.120
8 Tb 0.929 0.929 0.586
9 Cd 0.318 0.318 0.659
10 Cd 0.459 0.459 0.287
11 Cd 0.541 0.541 0.713
12 Cd 0.682 0.682 0.341

Results
Calculated density, g/cm³: 8.00
Space group: C2/m
N(E_F), states/eV/f.u.: 15.32

---

No. 7
KMg3: relaxed, PBE-GGA.

Cell: 5.697 5.697 14.827 Å, 90.00 90.00 90.00°
Element x y z (fractional)
1 K 0.000 0.000 0.131
2 K 0.000 0.000 0.869
3 K 0.500 0.500 0.369
4 K 0.500 0.500 0.631
5 Mg 0.000 0.000 0.386
6 Mg 0.000 0.000 0.614
7 Mg 0.000 0.500 0.000
8 Mg 0.000 0.500 0.250
9 Mg 0.000 0.500 0.500
10 Mg 0.000 0.500 0.750
11 Mg 0.500 0.000 0.000
12 Mg 0.500 0.000 0.250
13 Mg 0.500 0.000 0.500
14 Mg 0.500 0.000 0.750
15 Mg 0.500 0.500 0.114
16 Mg 0.500 0.500 0.886

Results
Calculated density, g/cm³: 1.55
Space group: I4/mmm
N(E_F), states/eV/f.u.: 2.31

---

No. 8
CoTc2Br: relaxed, PBE-GGA.

Cell: 5.460 5.460 10.654 Å, 90.00 90.00 90.00°
Element x y z (fractional)
1 Co 0.000 0.000 0.000
2 Co 0.000 0.500 0.250
3 Co 0.500 0.000 0.750
4 Co 0.500 0.500 0.500
5 Tc 0.212 0.250 0.125
6 Tc 0.250 0.712 0.375
7 Tc 0.250 0.788 0.875
8 Tc 0.288 0.250 0.625
9 Tc 0.712 0.750 0.625
10 Tc 0.750 0.212 0.875
11 Tc 0.750 0.288 0.375
12 Tc 0.788 0.750 0.125
13 Br 0.000 0.000 0.500
14 Br 0.000 0.500 0.750
15 Br 0.500 0.000 0.250
16 Br 0.500 0.500 0.000

Results
ΔE to the lowest computed polymorph, meV/atom: 729
Formation energy without anion corrections, kJ/mol of formula units: 457
Calculated density, g/cm³: 7.00
Space group: I-42d
N(E_F), states/eV/f.u.: 5.56

---

No. 9
Ca2Hg2Cl: relaxed, PBE-GGA.

Cell: 7.816 7.816 4.798 Å, 90.00 90.00 90.00°
Element x y z (fractional)
1 Ca 0.176 0.324 0.000
2 Ca 0.324 0.824 0.000
3 Ca 0.676 0.176 0.000
4 Ca 0.824 0.676 0.000
5 Hg 0.133 0.633 0.500
6 Hg 0.367 0.133 0.500
7 Hg 0.633 0.867 0.500
8 Hg 0.867 0.367 0.500
9 Cl 0.000 0.000 0.000
10 Cl 0.500 0.500 0.000

Results
Formation energy without anion corrections, kJ/mol of formula units: -415
Calculated density, g/cm³: 5.86
Space group: P4/mbm
N(E_F), states/eV/f.u.: 4.29

---

No. 10
BeAlCrBr2: relaxed, PBE-GGA.

Cell: 5.166 5.166 4.668 Å, 90.00 90.00 90.00°
Element x y z (fractional)
1 Be 0.000 0.000 0.000
2 Al 0.500 0.500 0.000
3 Cr 0.000 0.000 0.500
4 Br 0.000 0.500 0.500
5 Br 0.500 0.000 0.500

Results
Formation energy without anion corrections, kJ/mol of formula units: 242
Calculated density, g/cm³: 3.30
Space group: P4/mmm
N(E_F), states/eV/f.u.: 1.87

---

No. 11
MgTaCr: relaxed, PBE-GGA.

Cell: 2.668 4.322 8.475 Å, 90.00 90.00 90.00°
Element x y z (fractional)
1 Mg 0.000 0.000 0.000
2 Mg 0.500 0.500 0.500
3 Ta 0.000 0.000 0.327
4 Ta 0.500 0.500 0.827
5 Cr 0.000 0.000 0.664
6 Cr 0.500 0.500 0.164

Results
ΔE to the lowest computed polymorph, meV/atom: 148
Calculated density, g/cm³: 8.74
Space group: Imm2
N(E_F), states/eV/f.u.: 2.67

---

No. 12
CaMoAsBr2: relaxed, PBE-GGA.

Cell: 5.399 5.399 5.921 Å, 90.00 90.00 90.00°
Element x y z (fractional)
1 Ca 0.000 0.000 0.000
2 Mo 0.500 0.500 0.500
3 As 0.000 0.000 0.500
4 Br 0.000 0.500 0.000
5 Br 0.500 0.000 0.000

Results
ΔE to the lowest computed polymorph, meV/atom: 626
Formation energy without anion corrections, kJ/mol of formula units: 174
Calculated density, g/cm³: 3.57
Space group: P4/mmm
N(E_F), states/eV/f.u.: 2.85

---

No. 13
CsCrRhSe3: relaxed, PBE-GGA.

Cell: 9.013 3.796 9.919 Å, 90.00 115.43 90.00°
Element x y z (fractional)
1 Cs 0.018 0.250 0.262
2 Cs 0.982 0.750 0.738
3 Cr 0.471 0.250 0.163
4 Cr 0.529 0.750 0.837
5 Rh 0.484 0.750 0.394
6 Rh 0.516 0.250 0.606
7 Se 0.272 0.750 0.136
8 Se 0.334 0.750 0.571
9 Se 0.357 0.250 0.875
10 Se 0.643 0.750 0.125
11 Se 0.666 0.250 0.429
12 Se 0.728 0.250 0.864

Results
Formation energy without anion corrections, kJ/mol of formula units: -351
Calculated density, g/cm³: 5.68
Space group: P2_1/m
N(E_F), states/eV/f.u.: 2.86

---

No. 14
RhBr2: relaxed, PBE-GGA.

Cell: 3.624 13.941 3.362 Å, 90.00 90.00 90.00°
Element x y z (fractional)
1 Rh 0.000 0.000 0.000
2 Rh 0.500 0.500 0.000
3 Br 0.000 0.381 0.000
4 Br 0.000 0.619 0.000
5 Br 0.500 0.119 0.000
6 Br 0.500 0.881 0.000

Results
Formation energy without anion corrections, kJ/mol of formula units: -30
Calculated density, g/cm³: 5.14
Space group: Cmmm
N(E_F), states/eV/f.u.: 2.25

---

No. 15
ZrSb2Se: relaxed, PBE-GGA.

Cell: 3.619 3.619 25.549 Å, 90.00 90.00 120.00°
Element x y z (fractional)
1 Zr 0.000 0.000 0.000
2 Zr 0.333 0.667 0.667
3 Zr 0.667 0.333 0.333
4 Sb 0.000 0.000 0.249
5 Sb 0.000 0.000 0.751
6 Sb 0.333 0.667 0.418
7 Sb 0.333 0.667 0.915
8 Sb 0.667 0.333 0.085
9 Sb 0.667 0.333 0.582
10 Se 0.000 0.000 0.500
11 Se 0.333 0.667 0.167
12 Se 0.667 0.333 0.833

Results
Formation energy without anion corrections, kJ/mol of formula units: -27
Calculated density, g/cm³: 7.11
Space group: R-3m
N(E_F), states/eV/f.u.: 4.08

---

No. 16
Zn2AsP: relaxed, PBE-GGA.

Cell: 3.524 3.524 19.420 Å, 90.00 90.00 120.00°
Element x y z (fractional)
1 Zn 0.000 0.000 0.243
2 Zn 0.000 0.000 0.757
3 Zn 0.333 0.667 0.424
4 Zn 0.333 0.667 0.910
5 Zn 0.667 0.333 0.090
6 Zn 0.667 0.333 0.576
7 As 0.000 0.000 0.000
8 As 0.333 0.667 0.667
9 As 0.667 0.333 0.333
10 P 0.000 0.000 0.500
11 P 0.333 0.667 0.167
12 P 0.667 0.333 0.833

Results
ΔE to the lowest computed polymorph, meV/atom: 65
Calculated density, g/cm³: 5.65
Space group: R-3m
N(E_F), states/eV/f.u.: 2.18

---

No. 17
Ac3GaGe2Pd6: relaxed, PBE-GGA.

Cell: 5.982 5.982 8.795 Å, 90.00 90.00 120.00°
Element x y z (fractional)
1 Ac 0.000 0.000 0.000
2 Ac 0.333 0.667 0.658
3 Ac 0.667 0.333 0.342
4 Ga 0.000 0.000 0.500
5 Ge 0.333 0.667 0.058
6 Ge 0.667 0.333 0.942
7 Pd 0.174 0.349 0.294
8 Pd 0.174 0.826 0.294
9 Pd 0.349 0.174 0.706
10 Pd 0.651 0.826 0.294
11 Pd 0.826 0.174 0.706
12 Pd 0.826 0.651 0.706

Results
Calculated density, g/cm³: 9.35
Space group: P-3m1
N(E_F), states/eV/f.u.: 5.33

---

No. 18
AlSi2Au: relaxed, PBE-GGA.

Cell: 2.870 2.870 27.044 Å, 90.00 90.00 120.00°
Element x y z (fractional)
1 Al 0.000 0.000 0.000
2 Al 0.333 0.667 0.667
3 Al 0.667 0.333 0.333
4 Si 0.000 0.000 0.253
5 Si 0.000 0.000 0.747
6 Si 0.333 0.667 0.413
7 Si 0.333 0.667 0.920
8 Si 0.667 0.333 0.080
9 Si 0.667 0.333 0.587
10 Au 0.000 0.000 0.500
11 Au 0.333 0.667 0.167
12 Au 0.667 0.333 0.833

Results
Formation energy without anion corrections, kJ/mol of formula units: 123
Calculated density, g/cm³: 7.23
Space group: R-3m
N(E_F), states/eV/f.u.: 1.20

---

No. 19
CsSb2Pb2: relaxed, PBE-GGA.

Cell: 5.413 5.413 13.500 Å, 90.00 90.00 90.00°
Element x y z (fractional)
1 Cs 0.000 0.000 0.000
2 Cs 0.500 0.500 0.500
3 Sb 0.000 0.000 0.380
4 Sb 0.000 0.000 0.620
5 Sb 0.500 0.500 0.120
6 Sb 0.500 0.500 0.880
7 Pb 0.000 0.500 0.250
8 Pb 0.000 0.500 0.750
9 Pb 0.500 0.000 0.250
10 Pb 0.500 0.000 0.750

Results
ΔE to the lowest computed polymorph, meV/atom: 0
Formation energy without anion corrections, kJ/mol of formula units: -97
Calculated density, g/cm³: 6.64
Space group: I4/mmm
N(E_F), states/eV/f.u.: 2.91

---

No. 20
Ac2Pr3In2: relaxed, PBE-GGA.

Cell: 12.431 4.964 8.680 Å, 90.00 107.55 90.00°
Element x y z (fractional)
1 Ac 0.140 0.000 0.282
2 Ac 0.360 0.500 0.718
3 Ac 0.640 0.500 0.282
4 Ac 0.860 0.000 0.718
5 Pr 0.000 0.500 0.500
6 Pr 0.133 0.500 0.947
7 Pr 0.367 0.000 0.053
8 Pr 0.500 0.000 0.500
9 Pr 0.633 0.000 0.947
10 Pr 0.867 0.500 0.053
11 In 0.156 0.000 0.703
12 In 0.344 0.500 0.297
13 In 0.656 0.500 0.703
14 In 0.844 0.000 0.297

Results
Calculated density, g/cm³: 7.19
Space group: C2/m
N(E_F), states/eV/f.u.: 10.55

---

no.,total energy (eV per atom),magnetization (μB per formula unit)
1,-7.1406,0.000
2,-5.0046,0.000
3,-4.4885,0.000
4,-6.0794,0.862
5,-8.2150,1.025
6,-3.4200,0.001
7,-1.2233,0.000
8,-6.1948,0.000
9,-2.1518,0.000
10,-3.5850,3.780
11,-7.1978,0.497
12,-3.8054,2.996
13,-5.3195,1.451
14,-3.6680,0.246
15,-5.1386,0.000
16,-3.0315,0.000
17,-5.3645,0.000
18,-4.1472,0.000
19,-3.5037,0.000
20,-4.2170,0.000